1.
Here is crystalline LiHoS2O8 at its relaxed geometry from Alexandria via LeMat-Bulk. Energies are from GGA-PBE.

Values from the calculation:
Crystal system ... trigonal
SG ... No. 164
Formation energy (no corrections) ... -1994 meV per atom
Energy above the most stable polymorph in this dataset ... 0.00 eV/f.u.
DFT total energy ... -6.528 eV per atom
V ... 13.67 A^3/atom

a = 5.3559 Å, b = 5.3559 Å, c = 6.6042 Å
α = 90.00°, β = 90.00°, γ = 120.00°
Positions (direct):
S 0.6667 0.3333 0.1991
S 0.3333 0.6667 0.8009
O 0.6354 0.8179 0.7185
O 0.6667 0.3333 0.9807
O 0.1825 0.3646 0.7185
O 0.1821 0.8175 0.7185
O 0.8179 0.1825 0.2815
O 0.8175 0.6354 0.2815
O 0.3333 0.6667 0.0193
O 0.3646 0.1821 0.2815
Ho 0.0000 0.0000 0.5000
Li 0.0000 0.0000 0.0000

2.
Here is crystalline LiHo2SbO6 at its relaxed geometry from Alexandria via LeMat-Bulk. Energies are from GGA-PBE.

Values from the calculation:
Crystal system ... trigonal
SG ... No. 146
Formation energy (no corrections) ... -2634 meV per atom
DFT total energy ... -7.128 eV per atom
V ... 13.26 A^3/atom

a = 5.5571 Å, b = 5.5572 Å, c = 5.9068 Å
α = 61.94°, β = 61.94°, γ = 60.00°
Positions (direct):
Li 0.7859 0.7859 0.6422
O 0.1214 0.4278 0.7655
O 0.2196 0.9639 0.2345
O 0.9639 0.5819 0.2345
O 0.4278 0.6852 0.7655
O 0.5820 0.2196 0.2345
O 0.6853 0.1214 0.7655
Ho 0.5294 0.5294 0.4119
Ho 0.0240 0.0240 0.9281
Sb 0.3223 0.3223 0.0330

3.
Here is crystalline Li2HoSbO4 at its relaxed geometry from Alexandria via LeMat-Bulk. Energies are from GGA-PBE.

Values from the calculation:
Crystal system ... monoclinic
SG ... No. 8
Formation energy (no corrections) ... -2203 meV per atom
DFT total energy ... -6.248 eV per atom
V ... 13.34 A^3/atom

a = 4.2230 Å, b = 5.4295 Å, c = 5.5962 Å
α = 114.04°, β = 112.17°, γ = 90.00°
Positions (direct):
Ho 0.5158 0.5353 0.0315
Sb 0.7305 0.2100 0.4610
Li 0.9636 0.0094 0.9272
Li 0.2960 0.8671 0.5919
O 0.4932 0.9147 0.9863
O 0.9787 0.3985 0.9574
O 0.2744 0.2121 0.5489
O 0.7479 0.8529 0.4958

4.
Here is crystalline LiHo2ScO5 at its relaxed geometry from Alexandria via LeMat-Bulk. Energies are from GGA-PBE.

Values from the calculation:
Crystal system ... orthorhombic
SG ... No. 36
Formation energy (no corrections) ... -3188 meV per atom
DFT total energy ... -7.876 eV per atom
V ... 11.32 A^3/atom

a = 3.2315 Å, b = 6.7265 Å, c = 9.6552 Å
α = 90.00°, β = 90.00°, γ = 103.90°
Positions (direct):
O 0.9480 0.8960 0.5637
O 0.2857 0.5714 0.6583
O 0.6370 0.2741 0.5036
O 0.7143 0.4286 0.1583
O 0.3053 0.6106 0.3590
O 0.0520 0.1040 0.0637
O 0.4987 0.9974 0.7806
O 0.5013 0.0026 0.2806
O 0.3630 0.7259 0.0036
O 0.6947 0.3894 0.8590
Ho 0.1070 0.2140 0.6828
Ho 0.8735 0.7470 0.7955
Ho 0.1265 0.2530 0.2955
Ho 0.8930 0.7860 0.1828
Li 0.5183 0.0366 0.9782
Li 0.4817 0.9634 0.4782
Sc 0.1990 0.3981 0.0023
Sc 0.8010 0.6019 0.5023

5.
Here is crystalline LiHoSeO4 at its relaxed geometry from Alexandria via LeMat-Bulk. Energies are from GGA-PBE.

Values from the calculation:
Crystal system ... orthorhombic
SG ... No. 74
Formation energy (no corrections) ... -1953 meV per atom
DFT total energy ... -6.212 eV per atom
V ... 13.68 A^3/atom

a = 7.1088 Å, b = 6.3162 Å, c = 6.3162 Å
α = 65.01°, β = 55.75°, γ = 55.75°
Positions (direct):
Li 0.0000 0.0000 0.5000
Li 0.5000 0.0000 0.5000
O 0.2226 0.2308 0.7308
O 0.7081 0.7423 0.8415
O 0.2919 0.6585 0.7577
O 0.7774 0.7692 0.2692
O 0.8158 0.2308 0.7308
O 0.7081 0.3415 0.2423
O 0.2919 0.2577 0.1585
O 0.1842 0.7692 0.2692
Ho 0.0000 0.0000 0.0000
Ho 0.0000 0.5000 0.5000
Se 0.4263 0.3237 0.8237
Se 0.5737 0.6763 0.1763

6.
Here is crystalline LiHo2SeO5 at its relaxed geometry from Alexandria via LeMat-Bulk. Energies are from GGA-PBE.

Values from the calculation:
Crystal system ... tetragonal
SG ... No. 140
Formation energy (no corrections) ... -2047 meV per atom
DFT total energy ... -6.418 eV per atom
V ... 13.99 A^3/atom

a = 6.4850 Å, b = 6.4850 Å, c = 7.5434 Å
α = 115.46°, β = 115.46°, γ = 90.00°
Positions (direct):
O 0.9785 0.4785 0.2339
O 0.0000 0.0000 0.0000
O 0.7446 0.2446 0.7661
O 0.5215 0.7446 0.7661
O 0.7554 0.9785 0.2339
O 0.2554 0.7554 0.2339
O 0.2446 0.0215 0.7661
O 0.0215 0.5215 0.7661
O 0.4785 0.2554 0.2339
O 0.5000 0.5000 0.0000
Se 0.7500 0.2500 0.5000
Se 0.2500 0.7500 0.5000
Ho 0.8252 0.6748 0.0000
Ho 0.6748 0.1748 0.0000
Ho 0.1748 0.3252 0.0000
Ho 0.3252 0.8252 0.0000
Li 0.2500 0.2500 0.5000
Li 0.7500 0.7500 0.5000

| no. | Fermi-level density of states (states/eV/atom) |
| --- | --- |
| 1 | 0.000 |
| 2 | 0.000 |
| 3 | 0.000 |
| 4 | 0.000 |
| 5 | 0.000 |
| 6 | 0.211 |